VASP calculation (PBE) on an optimized crystal structure of Ca2In2Hg5.

ΔH_f (0 K) = -0.236 eV per atom
Energy above the most stable polymorph in this dataset = 0.0 meV/atom
Uncorrected energy = -1.46 eV/atom
Volume = 249.3 Å³/f.u.

Cell and atoms, written as POSCAR:
```
Ca2In2Hg5
1.0
-4.920 10.513 2.410
4.920 -10.513 2.410
4.920 10.513 -2.410
Ca In Hg
4 4 10
Cartesian
2.460 13.492 -1.205
2.460 2.979 1.205
-2.460 7.534 1.205
2.460 7.534 1.205
0.002 0.001 0.000
2.460 5.256 -1.205
2.460 -5.256 1.205
4.918 -0.001 2.410
4.920 -3.111 1.146
4.920 7.402 -1.146
2.460 9.528 -1.205
2.460 -0.985 1.205
0.000 5.256 1.159
4.920 5.256 1.251
-2.460 11.497 1.205
2.460 11.497 1.205
0.000 3.111 3.556
0.000 13.623 1.264
```